PrPaAsN2: relaxed, PBE.

```
data_PrPaAsN2
_symmetry_space_group_name_H-M 'I 4 m m'
_symmetry_Int_Tables_number 107
_symmetry_space_group_name_Hall 'I 4 -2'
_cell_length_a 3.9311
_cell_length_b 3.9311
_cell_length_c 12.9760
_cell_angle_alpha 90.00
_cell_angle_beta 90.00
_cell_angle_gamma 90.00
loop_
_atom_site_label
_atom_site_type_symbol
_atom_site_fract_x
_atom_site_fract_y
_atom_site_fract_z
_atom_site_occupancy
Pr1 Pr 0.0000 0.0000 0.0000 1
Pa1 Pa 0.0000 0.0000 0.3188 1
As1 As 0.0000 0.0000 0.6607 1
N1 N 0.0000 0.5000 0.3926 1
```

Properties
As for the total energy: -8.454 eV per atom. Its formation energy from raw total energies is -1.339 eV/atom.